Cs6NaAg2: optimized geometry, PBE.

Cell: 13.093 13.569 14.112 Å, 90.00 90.00 90.00°
Space group Immm (No. 71)
One atom of each set of equivalent atoms:
1 Cs 0.000 0.213 0.223 x8
2 Cs 0.190 0.500 0.174 x8
3 Cs 0.200 0.321 0.500 x8
4 Na 0.000 0.000 0.000 x2
5 Na 0.000 0.000 0.500 x2
6 Ag 0.000 0.391 0.000 x4
7 Ag 0.000 0.500 0.397 x4

Values from the calculation:
E, eV/atom: -1.325
Fermi-level density of states, states/eV per atom: 0.65
DFT formation energy, eV per formula unit: 0.22


CsNa2Ag2: optimized geometry, PBE.

Cell: 9.373 9.373 3.550 Å, 90.00 90.00 90.00°
Space group P4/mbm (No. 127)
One atom of each set of equivalent atoms:
1 Cs 0.000 0.000 0.000 x2
2 Na 0.122 0.378 0.000 x4
3 Ag 0.170 0.670 0.500 x4

Values from the calculation:
E, eV/atom: -1.775
Fermi-level density of states, states/eV per atom: 0.37
DFT formation energy, eV per formula unit: 0.32
Energy above the most stable polymorph in this dataset, meV/atom: 46


Cs2NaAg: optimized geometry, PBE.

Cell: 4.703 4.703 10.091 Å, 90.00 90.00 90.00°
Space group P4/mmm (No. 123)
One atom of each set of equivalent atoms:
1 Cs 0.000 0.000 0.212 x2
2 Na 0.500 0.500 0.500 x1
3 Ag 0.500 0.500 0.000 x1

Values from the calculation:
E, eV/atom: -1.425
Fermi-level density of states, states/eV per atom: 0.39
DFT formation energy, eV per formula unit: 0.18
Energy above the most stable polymorph in this dataset, meV/atom: 25